! GGA+U MgMn2BiO8, optimized geometry; values from VASP
&SYSTEM
  ibrav = 0, nat = 12, ntyp = 4
/
ATOMIC_SPECIES
Mg 24.30 Mg.upf
Mn 54.94 Mn.upf
Bi 208.98 Bi.upf
O 16.00 O.upf
ATOMIC_POSITIONS angstrom
Mg 0.000 0.000 0.000
Mn 0.000 3.206 1.861
Mn 2.776 1.603 4.628
Bi 0.000 0.000 3.245
O -0.006 1.554 1.403
O -1.428 4.037 1.403
O 1.342 0.782 5.086
O 0.000 3.206 3.504
O 2.776 1.603 2.986
O 1.434 4.027 1.403
O 4.204 0.771 5.086
O 2.782 3.255 5.086
CELL_PARAMETERS angstrom
5.553 0.000 0.000
-2.776 4.809 0.000
0.000 0.000 6.490
! - VASP energy: -73.5 eV per cell
! - Space group: P-3
! - DOS(E_F): 0.59 states/eV/atom